Record 1
Computed, not measured: crystalline Er2GaNi7 at its relaxed geometry at the PBE level of DFT.

Properties
As for the space group: Fm-3m, No. 225.

```
Er2GaNi7
1.0
0.000 4.357 4.357
4.357 0.000 4.357
4.357 4.357 0.000
Er Ga Ni
2 1 7
Direct
0.250 0.250 0.250
0.750 0.750 0.750
0.000 0.000 0.000
0.251 0.251 0.749
0.251 0.749 0.251
0.251 0.749 0.749
0.500 0.500 0.500
0.749 0.251 0.251
0.749 0.251 0.749
0.749 0.749 0.251
```

=====

Record 2
Computed, not measured: crystalline LiEr3 at its relaxed geometry at the PBE level of DFT.

Properties
The polymorph energy (0 for the lowest one) is 0.127 eV/atom. As for the space group: Pm-3m, No. 221.

```
LiEr3
1.0
4.835 0.000 0.000
0.000 4.835 0.000
0.000 0.000 4.835
Li Er
1 3
Direct
0.000 0.000 0.000
0.000 0.500 0.500
0.500 0.000 0.500
0.500 0.500 0.000
```

=====

Record 3
Computed, not measured: crystalline Tb2ScMnS6 at its relaxed geometry at the PBE level of DFT.

Properties
The energy relative to the elements, uncorrected comes out at -1.63 eV per atom. As for the space group: P2_1/c, No. 14.

```
Tb2ScMnS6
1.0
6.300 0.000 0.000
0.000 7.077 0.000
-6.218 0.000 9.167
Tb Sc Mn S
4 2 2 12
Direct
0.205 0.109 0.248
0.205 0.391 0.748
0.795 0.609 0.252
0.795 0.891 0.752
0.500 0.000 0.000
0.500 0.500 0.500
0.000 0.000 0.500
0.000 0.500 0.000
0.107 0.179 0.934
0.107 0.321 0.434
0.256 0.674 0.940
0.256 0.826 0.440
0.375 0.036 0.738
0.375 0.464 0.238
0.625 0.536 0.762
0.625 0.964 0.262
0.744 0.174 0.560
0.744 0.326 0.060
0.893 0.679 0.566
0.893 0.821 0.066
```

=====

Record 4
Computed, not measured: crystalline Cs12K7Ag at its relaxed geometry at the PBE level of DFT.

Properties
As for the space group: R-3, No. 148.

```
Cs12K7Ag
1.0
11.220 6.478 4.368
-11.220 6.478 4.368
0.000 -12.955 4.368
Cs K Ag
12 7 1
Direct
0.033 0.212 0.290
0.212 0.290 0.033
0.248 0.694 0.412
0.290 0.033 0.212
0.306 0.588 0.752
0.412 0.248 0.694
0.588 0.752 0.306
0.694 0.412 0.248
0.710 0.967 0.788
0.752 0.306 0.588
0.788 0.710 0.967
0.967 0.788 0.710
0.007 0.853 0.379
0.147 0.621 0.993
0.379 0.007 0.853
0.500 0.500 0.500
0.621 0.993 0.147
0.853 0.379 0.007
0.993 0.147 0.621
0.000 0.000 0.000
```

=====

Record 5
Computed, not measured: crystalline MgMoPb2 at its relaxed geometry at the PBE level of DFT.

Properties
As for the space group: P4/mmm, No. 123.

```
MgMoPb2
1.0
3.697 0.000 0.000
0.000 3.697 0.000
0.000 0.000 6.496
Mg Mo Pb
1 1 2
Direct
0.000 0.000 0.000
0.000 0.000 0.500
0.500 0.500 0.264
0.500 0.500 0.736
```

=====

Record 6
Computed, not measured: crystalline AcSm12Tm6 at its relaxed geometry at the PBE level of DFT.

Properties
As for the space group: R-3m, No. 166.

```
AcSm12Tm6
1.0
6.696 3.866 4.213
-6.696 3.866 4.213
0.000 -7.731 4.213
Ac Sm Tm
1 12 6
Direct
0.000 0.000 0.000
0.080 0.355 0.355
0.241 0.500 0.759
0.241 0.759 0.500
0.355 0.080 0.355
0.355 0.355 0.080
0.500 0.241 0.759
0.500 0.759 0.241
0.645 0.645 0.920
0.645 0.920 0.645
0.759 0.241 0.500
0.759 0.500 0.241
0.920 0.645 0.645
0.105 0.105 0.657
0.105 0.657 0.105
0.343 0.895 0.895
0.657 0.105 0.105
0.895 0.343 0.895
0.895 0.895 0.343
```

=====

Record 7
Computed, not measured: crystalline SrTl2Ir at its relaxed geometry at the PBE level of DFT.

Properties
As for the space group: C2/m, No. 12.

```
SrTl2Ir
1.0
4.058 -2.348 0.000
4.058 2.348 0.000
-2.718 0.000 5.604
Sr Tl Ir
1 2 1
Direct
0.000 0.000 0.000
0.219 0.219 0.657
0.781 0.781 0.343
0.500 0.500 0.500
```

=====

Record 8
Computed, not measured: crystalline Y3GeB at its relaxed geometry at the PBE level of DFT.

Properties
The polymorph energy (0 for the lowest one) is 0.000 eV/atom. As for the space group: Pm-3m, No. 221.

```
Y3GeB
1.0
4.955 0.000 0.000
0.000 4.955 0.000
0.000 0.000 4.955
Y Ge B
3 1 1
Direct
0.000 0.000 0.500
0.000 0.500 0.000
0.500 0.000 0.000
0.500 0.500 0.500
0.000 0.000 0.000
```

=====

Record 9
Computed, not measured: crystalline CeGdGePd at its relaxed geometry at the PBE level of DFT.

Properties
As for the space group: F-43m, No. 216.

```
CeGdGePd
1.0
0.000 3.607 3.607
3.607 0.000 3.607
3.607 3.607 0.000
Ce Gd Ge Pd
1 1 1 1
Direct
0.000 0.000 0.000
0.500 0.500 0.500
0.250 0.250 0.250
0.750 0.750 0.750
```

=====

Record 10
Computed, not measured: crystalline TbTm2As at its relaxed geometry at the PBE level of DFT.

Properties
As for the space group: R-3m, No. 166.

```
TbTm2As
1.0
1.897 1.095 9.361
-1.897 1.095 9.361
0.000 -2.190 9.361
Tb Tm As
1 2 1
Direct
0.000 0.000 0.000
0.228 0.228 0.228
0.772 0.772 0.772
0.500 0.500 0.500
```

=====

Record 11
Computed, not measured: crystalline CsKCd3 at its relaxed geometry at the PBE level of DFT.

Properties
The polymorph energy (0 for the lowest one) is 0.014 eV/atom. As for the space group: Pnma, No. 62.

```
CsKCd3
1.0
5.614 0.000 0.000
0.000 12.726 0.000
0.000 0.000 11.747
Cs K Cd
4 4 12
Direct
0.037 0.250 0.078
0.463 0.750 0.578
0.537 0.250 0.422
0.963 0.750 0.922
0.000 0.000 0.500
0.000 0.500 0.500
0.500 0.000 0.000
0.500 0.500 0.000
0.018 0.540 0.206
0.018 0.960 0.206
0.197 0.250 0.716
0.303 0.750 0.216
0.482 0.040 0.706
0.482 0.460 0.706
0.518 0.540 0.294
0.518 0.960 0.294
0.697 0.250 0.784
0.803 0.750 0.284
0.982 0.040 0.794
0.982 0.460 0.794
```

=====

Record 12
Computed, not measured: crystalline Na2HfRhO4 at its relaxed geometry at the PBE level of DFT.

Properties
The energy relative to the elements, uncorrected comes out at -1.96 eV per atom. As for the space group: P2/m, No. 10.

```
Na2HfRhO4
1.0
5.630 0.000 0.000
0.000 3.169 0.000
-2.282 0.000 5.516
Na Hf Rh O
2 1 1 4
Direct
0.000 0.000 0.000
0.500 0.500 0.000
0.000 0.500 0.500
0.500 0.000 0.500
0.200 0.000 0.728
0.251 0.500 0.307
0.749 0.500 0.693
0.800 0.000 0.272
```

=====

Record 13
Computed, not measured: crystalline Rb3Ce3SmSe8 at its relaxed geometry at the PBE level of DFT.

Properties
The energy relative to the elements, uncorrected comes out at -1.71 eV per atom. As for the space group: R-3m, No. 166.

```
Rb3Ce3SmSe8
1.0
4.329 2.499 8.081
-4.329 2.499 8.081
0.000 -4.999 8.081
Rb Ce Sm Se
3 3 1 8
Direct
0.000 0.500 0.500
0.500 0.000 0.500
0.500 0.500 0.000
0.000 0.000 0.500
0.000 0.500 0.000
0.500 0.000 0.000
0.500 0.500 0.500
0.230 0.732 0.732
0.233 0.233 0.233
0.268 0.268 0.770
0.268 0.770 0.268
0.732 0.230 0.732
0.732 0.732 0.230
0.767 0.767 0.767
0.770 0.268 0.268
```

=====

Record 14
Computed, not measured: crystalline SrAu2Se2 at its relaxed geometry at the PBE level of DFT.

Properties
The energy relative to the elements, uncorrected comes out at -0.62 eV per atom. As for the space group: I4/mmm, No. 139.

```
SrAu2Se2
1.0
-2.040 2.040 7.110
2.040 -2.040 7.110
2.040 2.040 -7.110
Sr Au Se
1 2 2
Direct
0.000 0.000 0.000
0.250 0.750 0.500
0.750 0.250 0.500
0.392 0.392 0.000
0.608 0.608 0.000
```

=====

Record 15
Computed, not measured: crystalline Rb2Li2NpO6 at its relaxed geometry at the PBE level of DFT.

Properties
The energy relative to the elements, uncorrected comes out at -2.01 eV per atom. As for the space group: P-31m, No. 162.

```
Rb2Li2NpO6
1.0
5.551 0.000 0.000
-2.775 4.807 0.000
0.000 0.000 6.367
Rb Li Np O
2 2 1 6
Direct
0.333 0.667 0.000
0.667 0.333 0.000
0.333 0.667 0.500
0.667 0.333 0.500
0.000 0.000 0.500
0.000 0.305 0.669
0.000 0.695 0.331
0.305 0.000 0.669
0.305 0.305 0.331
0.695 0.000 0.331
0.695 0.695 0.669
```

=====

Record 16
Computed, not measured: crystalline PrDy3Ho4 at its relaxed geometry at the PBE level of DFT.

Properties
The polymorph energy (0 for the lowest one) is 0.213 eV/atom. As for the space group: Cmmm, No. 65.

```
PrDy3Ho4
1.0
2.827 -13.077 0.000
2.827 13.077 0.000
0.000 0.000 3.540
Pr Dy Ho
1 3 4
Direct
0.000 0.000 0.000
0.344 0.656 0.000
0.500 0.500 0.500
0.656 0.344 0.000
0.106 0.894 0.500
0.224 0.776 0.500
0.776 0.224 0.500
0.894 0.106 0.500
```

=====

Record 17
Computed, not measured: crystalline Pm3ErTh2Sb6 at its relaxed geometry at the PBE level of DFT.

Properties
The energy relative to the elements, uncorrected comes out at -1.09 eV per atom. As for the space group: C2/m, No. 12.

```
Pm3ErTh2Sb6
1.0
9.761 -2.242 0.000
9.761 2.242 0.000
-2.076 0.000 8.704
Pm Er Th Sb
3 1 2 6
Direct
0.000 0.000 0.000
0.333 0.333 0.666
0.667 0.667 0.334
0.000 0.000 0.500
0.335 0.335 0.170
0.665 0.665 0.830
0.164 0.164 0.580
0.167 0.167 0.083
0.499 0.499 0.743
0.501 0.501 0.257
0.833 0.833 0.917
0.836 0.836 0.420
```

=====

Record 18
Computed, not measured: crystalline Ho2AgP at its relaxed geometry at the PBE level of DFT.

Properties
As for the space group: R-3m, No. 166.

```
Ho2AgP
1.0
1.985 1.146 7.135
-1.985 1.146 7.135
0.000 -2.292 7.135
Ho Ag P
2 1 1
Direct
0.239 0.239 0.239
0.761 0.761 0.761
0.000 0.000 0.000
0.500 0.500 0.500
```

=====

Record 19
Computed, not measured: crystalline ReRu2Pb at its relaxed geometry at the PBE level of DFT.

Properties
As for the space group: P4/mmm, No. 123.

```
ReRu2Pb
1.0
4.306 0.000 0.000
0.000 4.306 0.000
0.000 0.000 3.569
Re Ru Pb
1 2 1
Direct
0.000 0.000 0.000
0.000 0.500 0.500
0.500 0.000 0.500
0.500 0.500 0.000
```

=====

Record 20
Computed, not measured: crystalline Tm4ThS5 at its relaxed geometry at the PBE level of DFT.

Properties
The energy relative to the elements, uncorrected comes out at -1.89 eV per atom. As for the space group: Immm, No. 71.

```
Tm4ThS5
1.0
-1.932 2.760 9.757
1.932 -2.760 9.757
1.932 2.760 -9.757
Tm Th S
4 1 5
Direct
0.097 0.097 0.000
0.298 0.298 0.000
0.702 0.702 0.000
0.903 0.903 0.000
0.500 0.500 0.000
0.000 0.500 0.500
0.199 0.699 0.500
0.392 0.892 0.500
0.608 0.108 0.500
0.801 0.301 0.500
```

=====

| no. | energy (eV/atom) |
| --- | --- |
| 1 | -5.102 |
| 2 | -3.695 |
| 3 | -6.587 |
| 4 | -1.010 |
| 5 | -4.519 |
| 6 | -4.411 |
| 7 | -3.839 |
| 8 | -6.513 |
| 9 | -8.139 |
| 10 | -5.130 |
| 11 | -0.990 |
| 12 | -6.935 |
| 13 | -5.260 |
| 14 | -3.660 |
| 15 | -6.412 |
| 16 | -4.387 |
| 17 | -5.954 |
| 18 | -5.184 |
| 19 | -7.910 |
| 20 | -6.482 |